Crystalline TbSc3Te at its relaxed geometry. Source: the Alexandria database, functional PBE.

Unit cell a=10.0313 b=3.7377 c=13.6867 alpha=90.00 beta=90.00 gamma=90.00
Closest atoms and distances in Å follow each position.
Atoms (fractional coordinates):
Tb: 0.1614 0.2500 0.0200  2 Te 3.21, 6 Sc 3.41-3.48
Tb: 0.3386 0.7500 0.5200  2 Te 3.21, 6 Sc 3.41-3.48
Tb: 0.6614 0.2500 0.4800  2 Te 3.21, 6 Sc 3.41-3.48
Tb: 0.8386 0.7500 0.9800  2 Te 3.21, 6 Sc 3.41-3.48
Sc: 0.0837 0.2500 0.4219  3 Te 2.98-2.99, 5 Sc 3.10-3.30
Sc: 0.1055 0.7500 0.2310  2 Te 2.92-2.99, 4 Sc 3.20-3.22
Sc: 0.1464 0.7500 0.8120  2 Te 3.04, 5 Sc 3.10-3.30
Sc: 0.3536 0.2500 0.3120  2 Te 3.04, 5 Sc 3.10-3.30
Sc: 0.3945 0.2500 0.7310  2 Te 2.92-2.99, 4 Sc 3.20-3.22
Sc: 0.4163 0.7500 0.9219  3 Te 2.98-2.99, 5 Sc 3.10-3.30
Sc: 0.5837 0.2500 0.0781  3 Te 2.98-2.99, 5 Sc 3.10-3.30
Sc: 0.6055 0.7500 0.2690  2 Te 2.92-2.99, 4 Sc 3.20-3.22
Sc: 0.6464 0.7500 0.6880  2 Te 3.04, 5 Sc 3.10-3.30
Sc: 0.8536 0.2500 0.1880  2 Te 3.04, 5 Sc 3.10-3.30
Sc: 0.8945 0.2500 0.7690  2 Te 2.92-2.99, 4 Sc 3.20-3.22
Sc: 0.9163 0.7500 0.5781  3 Te 2.98-2.99, 5 Sc 3.10-3.30
Te: 0.1326 0.2500 0.6372  7 Sc 2.92-3.04, 2 Tb 3.21
Te: 0.3674 0.7500 0.1372  7 Sc 2.92-3.04, 2 Tb 3.21
Te: 0.6326 0.2500 0.8628  7 Sc 2.92-3.04, 2 Tb 3.21
Te: 0.8674 0.7500 0.3628  7 Sc 2.92-3.04, 2 Tb 3.21

Computed properties:
Energy (eV for the cell shown): -116.34
Theoretical density (kg/m³): 5454
Uncorrected formation energy (eV per atom): -0.4638


Crystalline TbScTe at its relaxed geometry. Source: the Alexandria database, functional PBE.

Unit cell a=4.9474 b=4.9474 c=3.8776 alpha=90.00 beta=90.00 gamma=120.00
Closest atoms and distances in Å follow each position.
Atoms (fractional coordinates):
Tb: 0.0000 0.0000 0.0000  3 Te 3.25, 6 Sc 3.44-3.46
Sc: 0.3333 0.6667 0.4965  3 Te 2.88
Te: 0.6667 0.3333 0.4008  3 Sc 2.88

Computed properties:
Energy (eV for the cell shown): -15.57
Energy above the most stable polymorph in this dataset (meV per atom): 398
Theoretical density (kg/m³): 6697
Uncorrected formation energy (eV per atom): -0.4903


Crystalline Tb3ThSc2Te6 at its relaxed geometry. Source: the Alexandria database, functional PBE.

Unit cell a=9.5779 b=9.5779 c=8.7624 alpha=100.02 beta=100.02 gamma=25.77
Closest atoms and distances in Å follow each position.
Atoms (fractional coordinates):
Tb: 0.0000 0.0000 0.0000  6 Te 3.00-3.14
Tb: 0.3480 0.3480 0.6563  6 Te 3.03-3.17
Tb: 0.6520 0.6520 0.3437  6 Te 3.03-3.17
Th: 0.0000 0.0000 0.5000  6 Te 3.13-3.26
Sc: 0.3334 0.3334 0.1595  6 Te 2.86-3.02
Sc: 0.6666 0.6666 0.8405  6 Te 2.86-3.02
Te: 0.1706 0.1706 0.0856  3 Sc 2.99-3.02, 3 Tb 3.14-3.17
Te: 0.1762 0.1762 0.6084  2 Sc 2.98, 3 Tb 3.13-3.16, 1 Th 3.26
Te: 0.4887 0.4887 0.2353  1 Sc 2.86, 3 Tb 3.00-3.03, 2 Th 3.13
Te: 0.5113 0.5113 0.7647  1 Sc 2.86, 3 Tb 3.00-3.03, 2 Th 3.13
Te: 0.8238 0.8238 0.3916  2 Sc 2.98, 3 Tb 3.13-3.16, 1 Th 3.26
Te: 0.8294 0.8294 0.9144  3 Sc 2.99-3.02, 3 Tb 3.14-3.17

Computed properties:
Energy (eV for the cell shown): -66.92
Theoretical density (kg/m³): 7556
Uncorrected formation energy (eV per atom): -1.1745


Crystalline TbTh2ScTe4 at its relaxed geometry. Source: the Alexandria database, functional PBE.

Unit cell a=7.2091 b=4.1801 c=8.1846 alpha=90.00 beta=107.27 gamma=90.00
Closest atoms and distances in Å follow each position.
Atoms (fractional coordinates):
Tb: 0.0000 0.0000 0.0000  6 Te 3.04
Th: 0.0000 0.5000 0.5000  6 Te 3.24
Th: 0.5000 0.0000 0.5000  6 Te 3.17-3.18
Sc: 0.5000 0.5000 0.0000  6 Te 2.97
Te: 0.2521 0.5000 0.2319  1 Sc 2.97, 2 Tb 3.04, 3 Th 3.17-3.24
Te: 0.2655 0.0000 0.7729  2 Sc 2.97, 1 Tb 3.04, 3 Th 3.18-3.24
Te: 0.7345 0.0000 0.2271  2 Sc 2.97, 1 Tb 3.04, 3 Th 3.18-3.24
Te: 0.7479 0.5000 0.7681  1 Sc 2.97, 2 Tb 3.04, 3 Th 3.17-3.24

Computed properties:
Energy (eV for the cell shown): -47.13
Theoretical density (kg/m³): 8308
Uncorrected formation energy (eV per atom): -1.0954


Crystalline Tb2ScTl3Te6 at its relaxed geometry. Source: the Alexandria database, functional PBE.

Unit cell a=7.6178 b=7.6178 c=8.5543 alpha=98.54 beta=98.54 gamma=119.97
Closest atoms and distances in Å follow each position.
Atoms (fractional coordinates):
Tb: 0.1660 0.8340 0.0000  6 Te 3.10-3.11
Tb: 0.8340 0.1660 0.0000  6 Te 3.10-3.11
Sc: 0.5000 0.5000 0.0000  6 Te 2.98-3.00
Tl: 0.0000 0.0000 0.5000  6 Te 3.45-3.53
Tl: 0.3288 0.6712 0.5000  6 Te 3.45-3.51
Tl: 0.6712 0.3288 0.5000  6 Te 3.45-3.51
Te: 0.1095 0.4305 0.7910  1 Sc 2.98, 2 Tb 3.10-3.11
Te: 0.2501 0.2501 0.2129  1 Sc 3.00, 2 Tb 3.11
Te: 0.4305 0.1095 0.7910  1 Sc 2.98, 2 Tb 3.10-3.11
Te: 0.5695 0.8905 0.2090  1 Sc 2.98, 2 Tb 3.10-3.11
Te: 0.7499 0.7499 0.7871  1 Sc 3.00, 2 Tb 3.11
Te: 0.8905 0.5695 0.2090  1 Sc 2.98, 2 Tb 3.10-3.11

Computed properties:
Energy (eV for the cell shown): -53.66
Theoretical density (kg/m³): 7042
Uncorrected formation energy (eV per atom): -1.0100


Crystalline TbSc2Tl3Te6 at its relaxed geometry. Source: the Alexandria database, functional PBE.

Unit cell a=7.5005 b=7.5005 c=8.5237 alpha=98.45 beta=98.45 gamma=119.95
Closest atoms and distances in Å follow each position.
Atoms (fractional coordinates):
Tb: 0.0000 0.0000 0.0000  6 Te 3.09-3.10
Sc: 0.3326 0.6674 0.0000  6 Te 2.97-2.98
Sc: 0.6674 0.3326 0.0000  6 Te 2.97-2.98
Tl: 0.1617 0.8383 0.5000  6 Te 3.42-3.49
Tl: 0.5000 0.5000 0.5000  6 Te 3.41-3.49
Tl: 0.8383 0.1617 0.5000  6 Te 3.42-3.49
Te: 0.0694 0.4154 0.2078  2 Sc 2.98, 1 Tb 3.10
Te: 0.2785 0.2785 0.7962  2 Sc 2.97, 1 Tb 3.09
Te: 0.4154 0.0694 0.2078  2 Sc 2.98, 1 Tb 3.10
Te: 0.5846 0.9306 0.7922  2 Sc 2.98, 1 Tb 3.10
Te: 0.7215 0.7215 0.2038  2 Sc 2.97, 1 Tb 3.09
Te: 0.9306 0.5846 0.7922  2 Sc 2.98, 1 Tb 3.10

Computed properties:
Energy (eV for the cell shown): -54.82
Theoretical density (kg/m³): 6805
Uncorrected formation energy (eV per atom): -0.9649


Crystalline TbScTl2Te4 at its relaxed geometry. Source: the Alexandria database, functional PBE.

Unit cell a=7.5664 b=4.3673 c=8.5356 alpha=90.00 beta=107.13 gamma=90.00
Closest atoms and distances in Å follow each position.
Atoms (fractional coordinates):
Tb: 0.0000 0.0000 0.0000  6 Te 3.09-3.10
Sc: 0.5000 0.5000 0.0000  6 Te 2.99
Tl: 0.0000 0.5000 0.5000  6 Te 3.51-3.52
Tl: 0.5000 0.0000 0.5000  6 Te 3.42
Te: 0.2483 0.5000 0.2115  1 Sc 2.99, 2 Tb 3.09
Te: 0.2761 0.0000 0.7947  2 Sc 2.99, 1 Tb 3.10
Te: 0.7239 0.0000 0.2053  2 Sc 2.99, 1 Tb 3.10
Te: 0.7517 0.5000 0.7885  1 Sc 2.99, 2 Tb 3.09

Computed properties:
Energy (eV for the cell shown): -36.14
Theoretical density (kg/m³): 6919
Uncorrected formation energy (eV per atom): -0.9845


Crystalline TbSc3Tl4Te8 at its relaxed geometry. Source: the Alexandria database, functional PBE.

Unit cell a=9.5437 b=9.5437 c=9.5437 alpha=53.79 beta=53.79 gamma=53.79
Closest atoms and distances in Å follow each position.
Atoms (fractional coordinates):
Tb: 0.0000 0.0000 0.0000  6 Te 3.08
Sc: 0.0000 0.5000 0.5000  6 Te 2.98
Sc: 0.5000 0.0000 0.5000  6 Te 2.98
Sc: 0.5000 0.5000 0.0000  6 Te 2.98
Tl: 0.0000 0.0000 0.5000  6 Te 3.48
Tl: 0.0000 0.5000 0.0000  6 Te 3.48
Tl: 0.5000 0.0000 0.0000  6 Te 3.48
Tl: 0.5000 0.5000 0.5000  6 Te 3.39
Te: 0.2413 0.2413 0.7246  2 Sc 2.98, 1 Tb 3.08
Te: 0.2413 0.7246 0.2413  2 Sc 2.98, 1 Tb 3.08
Te: 0.2663 0.2663 0.2663  3 Sc 2.98
Te: 0.2754 0.7587 0.7587  2 Sc 2.98, 1 Tb 3.08
Te: 0.7246 0.2413 0.2413  2 Sc 2.98, 1 Tb 3.08
Te: 0.7337 0.7337 0.7337  3 Sc 2.98
Te: 0.7587 0.2754 0.7587  2 Sc 2.98, 1 Tb 3.08
Te: 0.7587 0.7587 0.2754  2 Sc 2.98, 1 Tb 3.08

Computed properties:
Energy (eV for the cell shown): -73.46
Theoretical density (kg/m³): 6738
Uncorrected formation energy (eV per atom): -0.9522